[1]
Material: SiMoRh2
Method: DFT, SCAN
State: single point on PBEsol structure

Cell lengths 8.511, 8.511, 8.511 Å; angles 18.60, 18.60, 18.60 degrees
Fractional coordinates of all 4 atoms:
Si (0.000, 0.000, 0.000)
Mo (0.249, 0.249, 0.249)
Rh (0.498, 0.498, 0.498)
Rh (0.739, 0.739, 0.739)

Output
D(E_F): 3.019 states/eV per cell
energy relative to the elements, uncorrected: -0.26 eV per atom
spin magnetization: 0.00 μB per cell

=====

[2]
Material: Si2MoRh
Method: DFT, SCAN
State: single point on PBEsol structure

Cell lengths 3.167, 3.167, 5.413 Å; angles 90.00, 90.00, 90.00 degrees
Fractional coordinates of all 4 atoms:
Si (0.000, 0.000, 0.000)
Si (0.500, 0.500, 0.269)
Mo (0.000, 0.000, 0.475)
Rh (0.500, 0.500, 0.809)

Output
D(E_F): 2.998 states/eV per cell
energy relative to the elements, uncorrected: -0.40 eV per atom
spin magnetization: 0.00 μB per cell

=====

[3]
Material: SiMoRh2
Method: DFT, SCAN
State: single point on PBEsol structure

Cell lengths 3.923, 5.269, 5.269 Å; angles 30.33, 90.00, 90.00 degrees
Fractional coordinates of all 4 atoms:
Si (0.000, 0.000, 0.000)
Mo (0.500, 0.382, 0.382)
Rh (0.000, 0.759, 0.759)
Rh (0.500, 0.122, 0.122)

Output
D(E_F): 3.669 states/eV per cell
energy relative to the elements, uncorrected: -0.36 eV per atom
spin magnetization: 0.00 μB per cell

=====

- Which formula does entry 2 have?
  Si2MoRh

=====

- Among the records above, which one has the lowest energy relative to the elements, uncorrected?
  Si2MoRh